No. 1
The following is a DFT calculation (PBE) of a relaxed Rb2TlCdBr6 crystal.

Lattice parameters (Å, degrees): 8.0525 8.0525 8.0525 60.00 60.00 60.00
Closest atoms and distances in Å follow each position.
Positions (direct):
Br (0.7566, 0.2434, 0.2434)  1 Cd 2.77, 1 Tl 2.92
Br (0.2434, 0.7566, 0.2434)  1 Cd 2.77, 1 Tl 2.92
Br (0.7566, 0.7566, 0.2434)  1 Cd 2.77, 1 Tl 2.92
Br (0.2434, 0.2434, 0.7566)  1 Cd 2.77, 1 Tl 2.92
Br (0.7566, 0.2434, 0.7566)  1 Cd 2.77, 1 Tl 2.92
Br (0.2434, 0.7566, 0.7566)  1 Cd 2.77, 1 Tl 2.92
Cd (0.0000, 0.0000, 0.0000)  6 Br 2.77
Rb (0.2500, 0.2500, 0.2500)  12 Br 4.03
Rb (0.7500, 0.7500, 0.7500)  12 Br 4.03
Tl (0.5000, 0.5000, 0.5000)  6 Br 2.92

Output
space group	Fm-3m, No. 225
final energy	-26.36	eV per cell

No. 2
The following is a DFT calculation (PBE) of a relaxed HoIn crystal.

Lattice parameters (Å, degrees): 3.7538 3.7538 3.7538 90.00 90.00 90.00
Closest atoms and distances in Å follow each position.
Positions (direct):
Ho (0.0000, 0.0000, 0.0000)  8 In 3.25
In (0.5000, 0.5000, 0.5000)  8 Ho 3.25

Output
space group	Pm-3m, No. 221
magnetization	0.0	μB per formula unit
final energy	-8.22	eV per cell

No. 3
The following is a DFT calculation (PBE) of a relaxed AlFeAs2 crystal.

Lattice parameters (Å, degrees): 4.4911 4.4911 4.4911 60.00 60.00 60.00
Closest atoms and distances in Å follow each position.
Positions (direct):
Al (0.5000, 0.5000, 0.5000)  4 As 2.75, 4 Fe 2.75
As (0.0000, 0.0000, 0.0000)  4 As 2.75, 4 Fe 2.75
As (0.7500, 0.7500, 0.7500)  4 As 2.75, 4 Al 2.75
Fe (0.2500, 0.2500, 0.2500)  4 Al 2.75, 4 As 2.75

Output
space group	F-43m, No. 216
magnetization	1.9	μB per formula unit
final energy	-19.74	eV per cell

No. 4
The following is a DFT calculation (PBE) of a relaxed RbZrNO crystal.

Lattice parameters (Å, degrees): 4.3852 4.3852 8.4509 90.00 90.00 90.00
Closest atoms and distances in Å follow each position.
Positions (direct):
N (0.0000, 0.5000, 0.2984)  1 Zr 1.84
N (0.5000, 0.0000, 0.7016)  1 Zr 1.84
O (0.0000, 0.0000, 0.0000)  4 Zr 2.30
O (0.5000, 0.5000, 0.0000)  4 Zr 2.30
Rb (0.0000, 0.0000, 0.5000)  4 N 2.78, 4 Rb 3.10
Rb (0.5000, 0.5000, 0.5000)  4 N 2.78, 4 Rb 3.10
Zr (0.0000, 0.5000, 0.0808)  1 N 1.84
Zr (0.5000, 0.0000, 0.9192)  1 N 1.84

Output
space group	P4/nmm, No. 129
energy above the most stable polymorph in this dataset	326	meV/atom
magnetization	0.0	μB per formula unit
final energy	-56.30	eV per cell

No. 5
The following is a DFT calculation (PBE) of a relaxed MgZn3 crystal.

Lattice parameters (Å, degrees): 5.0696 5.6804 4.4382 90.00 90.00 90.00
Closest atoms and distances in Å follow each position.
Positions (direct):
Mg (0.0218, 0.0000, 0.0000)  12 Zn 2.82-2.97
Mg (0.3115, 0.5000, 0.5000)  12 Zn 2.82-2.97
Zn (0.5071, 0.2484, 0.0000)  7 Zn 2.72-2.86, 4 Mg 2.82-2.97
Zn (0.9648, 0.5000, 0.0000)  6 Zn 2.72-2.73, 4 Mg 2.83-2.85
Zn (0.5071, 0.7516, 0.0000)  7 Zn 2.72-2.86, 4 Mg 2.82-2.97
Zn (0.3685, 0.0000, 0.5000)  6 Zn 2.72-2.73, 4 Mg 2.83-2.85
Zn (0.8262, 0.2516, 0.5000)  7 Zn 2.72-2.86, 4 Mg 2.82-2.97
Zn (0.8262, 0.7484, 0.5000)  7 Zn 2.72-2.86, 4 Mg 2.82-2.97

Output
space group	Pmmn, No. 59
final energy	-11.18	eV per cell

No. 6
The following is a DFT calculation (PBE) of a relaxed PrGdCd6 crystal.

Lattice parameters (Å, degrees): 5.1393 5.1393 7.2825 90.00 90.00 90.00
Closest atoms and distances in Å follow each position.
Positions (direct):
Cd (0.5000, 0.5000, 0.0000)  8 Cd 3.13
Cd (0.5000, 0.0000, 0.2455)  4 Cd 3.13-3.17, 2 Gd 3.13, 2 Pr 3.17
Cd (0.0000, 0.5000, 0.2455)  4 Cd 3.13-3.17, 2 Gd 3.13, 2 Pr 3.17
Cd (0.0000, 0.0000, 0.5000)  8 Cd 3.17
Cd (0.5000, 0.0000, 0.7545)  4 Cd 3.13-3.17, 2 Gd 3.13, 2 Pr 3.17
Cd (0.0000, 0.5000, 0.7545)  4 Cd 3.13-3.17, 2 Gd 3.13, 2 Pr 3.17
Gd (0.0000, 0.0000, 0.0000)  8 Cd 3.13
Pr (0.5000, 0.5000, 0.5000)  8 Cd 3.17

Output
space group	P4/mmm, No. 123
formation energy	-312.4	meV/atom
magnetization	0.0	μB per formula unit
final energy	-17.30	eV per cell

No. 7
The following is a DFT calculation (PBE) of a relaxed LaNdSc2Ge2 crystal.

Lattice parameters (Å, degrees): 8.6552 8.6552 8.6552 150.86 150.86 41.67
Closest atoms and distances in Å follow each position.
Positions (direct):
Ge (0.1208, 0.1208, 0.0000)  4 Sc 2.93, 4 La 3.21
Ge (0.8791, 0.8791, 0.0000)  4 Sc 2.92, 4 Nd 3.20
La (0.6767, 0.6767, 0.0000)  5 Ge 3.21-3.27
Nd (0.3245, 0.3245, 0.0000)  5 Ge 3.20-3.29, 4 Sc 3.57
Sc (0.9994, 0.4994, 0.5000)  4 Ge 2.92-2.93, 4 Sc 3.08
Sc (0.4994, 0.9994, 0.5000)  4 Ge 2.92-2.93, 4 Sc 3.08

Output
space group	I4mm, No. 107
magnetization	1.8	μB per formula unit
final energy	-35.91	eV per cell

No. 8
The following is a DFT calculation (PBE) of a relaxed CsUB crystal.

Lattice parameters (Å, degrees): 4.7338 4.7338 4.7338 60.00 60.00 60.00
Closest atoms and distances in Å follow each position.
Positions (direct):
B (0.5000, 0.5000, 0.5000)  4 U 2.90
Cs (0.0000, 0.0000, 0.0000)  4 U 2.90
U (0.7500, 0.7500, 0.7500)  4 B 2.90, 4 Cs 2.90

Output
space group	F-43m, No. 216
magnetization	2.0	μB per formula unit
final energy	-12.73	eV per cell

No. 9
The following is a DFT calculation (PBE) of a relaxed Lu2BePb crystal.

Lattice parameters (Å, degrees): 5.1438 5.1438 5.1438 60.00 60.00 60.00
Closest atoms and distances in Å follow each position.
Positions (direct):
Be (0.2500, 0.2500, 0.2500)  4 Pb 3.15, 4 Lu 3.15
Lu (0.0000, 0.0000, 0.0000)  4 Lu 3.15, 4 Be 3.15
Lu (0.7500, 0.7500, 0.7500)  4 Pb 3.15, 4 Lu 3.15
Pb (0.5000, 0.5000, 0.5000)  4 Lu 3.15, 4 Be 3.15

Output
space group	F-43m, No. 216
magnetization	0.0	μB per formula unit
final energy	-14.70	eV per cell

No. 10
The following is a DFT calculation (PBE) of a relaxed ZnCoRePb crystal.

Lattice parameters (Å, degrees): 4.4709 4.4709 4.4709 60.00 60.00 60.00
Closest atoms and distances in Å follow each position.
Positions (direct):
Co (0.7500, 0.7500, 0.7500)  4 Pb 2.74, 4 Zn 2.74
Pb (0.0000, 0.0000, 0.0000)  4 Re 2.74, 4 Co 2.74
Re (0.2500, 0.2500, 0.2500)  4 Pb 2.74, 4 Zn 2.74
Zn (0.5000, 0.5000, 0.5000)  4 Re 2.74, 4 Co 2.74

Output
space group	F-43m, No. 216
energy above the most stable polymorph in this dataset	0	meV/atom
magnetization	0.5	μB per formula unit
final energy	-21.39	eV per cell

No. 11
The following is a DFT calculation (PBE) of a relaxed ScBeIrPb crystal.

Lattice parameters (Å, degrees): 4.6090 4.6090 4.6090 60.00 60.00 60.00
Closest atoms and distances in Å follow each position.
Positions (direct):
Be (0.7500, 0.7500, 0.7500)  4 Pb 2.82, 4 Ir 2.82
Ir (0.0000, 0.0000, 0.0000)  4 Be 2.82, 4 Sc 2.82
Pb (0.5000, 0.5000, 0.5000)  4 Be 2.82, 4 Sc 2.82
Sc (0.2500, 0.2500, 0.2500)  4 Pb 2.82, 4 Ir 2.82

Output
space group	F-43m, No. 216
energy above the most stable polymorph in this dataset	44	meV/atom
magnetization	0.0	μB per formula unit
final energy	-22.63	eV per cell

No. 12
The following is a DFT calculation (PBE) of a relaxed TbF4 crystal.

Lattice parameters (Å, degrees): 5.5622 5.3151 6.7944 52.99 49.73 77.27
Closest atoms and distances in Å follow each position.
Positions (direct):
F (0.5765, 0.5439, 0.1254)  2 Tb 2.21-2.24, 2 F 2.27-2.45
F (0.4481, 0.0509, 0.1558)  2 Tb 2.22-2.23, 2 F 2.27-2.45
F (0.9048, 0.0942, 0.1991)  2 Tb 2.22-2.23, 2 F 2.27-2.45
F (0.0509, 0.4481, 0.3452)  2 Tb 2.22-2.23, 2 F 2.27-2.45
F (0.1246, 0.4958, 0.6735)  2 Tb 2.21-2.24, 2 F 2.27-2.45
F (0.4958, 0.1246, 0.7061)  2 Tb 2.21-2.24, 2 F 2.27-2.45
F (0.5439, 0.5765, 0.7542)  2 Tb 2.21-2.24, 2 F 2.27-2.45
F (0.0942, 0.9048, 0.8019)  2 Tb 2.22-2.23, 2 F 2.27-2.45
Tb (0.6706, 0.6706, 0.3294)  8 F 2.21-2.24
Tb (0.9206, 0.9206, 0.5794)  8 F 2.21-2.24

Output
space group	Fdd2, No. 43
energy above the most stable polymorph in this dataset	110	meV/atom
magnetization	1.0	μB per formula unit
final energy	-54.62	eV per cell